No. 1
Crystalline Rb2FeSbW at its relaxed geometry. Source: Alexandria via LeMat-Bulk, functional PBE. Values from VASP.

Calculated values
- SG: No. 123
- Total energy: -20.10 eV/cell
- Energy relative to the elements, uncorrected: 1.4738 eV/atom

```
&SYSTEM
  ibrav = 0, nat = 5, ntyp = 4
/
ATOMIC_SPECIES
Fe 55.84 Fe.upf
Rb 85.47 Rb.upf
Sb 121.76 Sb.upf
W 183.84 W.upf
ATOMIC_POSITIONS angstrom
Fe 0.0000 0.0000 0.0000
Rb 0.0000 0.0000 3.2819
Rb 3.2819 0.0000 0.0000
Sb 3.2819 2.1365 3.2819
W 0.0000 2.1365 0.0000
CELL_PARAMETERS angstrom
6.5638 0.0000 0.0000
0.0000 4.2729 0.0000
0.0000 0.0000 6.5638
```

No. 2
Crystalline RbSc2Fe at its relaxed geometry. Source: Alexandria via LeMat-Bulk, functional PBE. Values from VASP.

Calculated values
- SG: No. 227
- Total energy: -39.29 eV/cell
- Energy relative to the lowest polymorph listed for this composition: 0.226 eV/atom

```
&SYSTEM
  ibrav = 0, nat = 8, ntyp = 3
/
ATOMIC_SPECIES
Rb 85.47 Rb.upf
Sc 44.96 Sc.upf
Fe 55.84 Fe.upf
ATOMIC_POSITIONS angstrom
Rb 0.0000 0.0000 0.0000
Rb 7.4188 3.7094 2.6251
Sc 3.7102 1.8547 1.3125
Sc 9.2735 7.4196 3.9376
Sc 3.7086 5.5641 1.3125
Sc 5.5641 7.4180 3.9376
Fe 3.7094 3.7094 0.0000
Fe 3.7094 7.4188 2.6251
CELL_PARAMETERS angstrom
7.4188 0.0000 0.0000
0.0000 7.4188 0.0000
3.7094 3.7094 5.2501
```

No. 3
Crystalline Rb3ScFe at its relaxed geometry. Source: Alexandria via LeMat-Bulk, functional PBE. Values from VASP.

Calculated values
- SG: No. 221
- Total energy: -11.32 eV/cell
- Energy relative to the lowest polymorph listed for this composition: 0.000 eV/atom

```
&SYSTEM
  ibrav = 0, nat = 5, ntyp = 3
/
ATOMIC_SPECIES
Rb 85.47 Rb.upf
Sc 44.96 Sc.upf
Fe 55.84 Fe.upf
ATOMIC_POSITIONS angstrom
Rb -1.4928 0.6745 -2.8492
Rb -0.6433 -3.1955 -0.4194
Rb -2.8564 0.3672 1.5835
Sc -4.9925 -2.1538 -1.6851
Fe 0.0000 0.0000 0.0000
CELL_PARAMETERS angstrom
-2.9855 1.3490 -5.6984
-1.2867 -6.3910 -0.8389
-5.7127 0.7345 3.1669
```

No. 4
Crystalline RbScFe2 at its relaxed geometry. Source: Alexandria via LeMat-Bulk, functional PBE. Values from VASP.

Calculated values
- SG: No. 122
- Total energy: -37.57 eV/cell
- Energy relative to the lowest polymorph listed for this composition: 0.112 eV/atom

```
&SYSTEM
  ibrav = 0, nat = 8, ntyp = 3
/
ATOMIC_SPECIES
Fe 55.84 Fe.upf
Rb 85.47 Rb.upf
Sc 44.96 Sc.upf
ATOMIC_POSITIONS angstrom
Fe 5.8132 4.6074 6.7128
Fe 2.3685 3.4879 2.2376
Fe 3.4879 4.6938 6.7128
Fe 2.2821 1.1626 2.2376
Rb 4.6506 2.3253 4.4752
Rb 0.0000 0.0000 0.0000
Sc 2.3253 2.3253 0.0000
Sc 2.3253 4.6506 4.4752
CELL_PARAMETERS angstrom
4.6506 0.0000 0.0000
0.0000 4.6506 0.0000
2.3253 2.3253 8.9504
```

No. 5
Crystalline RbSc2Fe at its relaxed geometry. Source: Alexandria via LeMat-Bulk, functional PBE. Values from VASP.

Calculated values
- SG: No. 166
- Total energy: -20.55 eV/cell
- Energy relative to the lowest polymorph listed for this composition: 0.000 eV/atom

```
&SYSTEM
  ibrav = 0, nat = 4, ntyp = 3
/
ATOMIC_SPECIES
Fe 55.84 Fe.upf
Sc 44.96 Sc.upf
Rb 85.47 Rb.upf
ATOMIC_POSITIONS angstrom
Fe 7.0414 10.6678 8.4767
Sc 12.3455 18.7036 14.8620
Sc 1.7373 2.6320 2.0914
Rb 0.0000 0.0000 0.0000
CELL_PARAMETERS angstrom
3.1110 8.4858 5.2372
4.5789 5.8317 7.3580
6.3929 7.0181 4.3582
```

No. 6
Crystalline Rb2ScFe at its relaxed geometry. Source: Alexandria via LeMat-Bulk, functional PBE. Values from VASP.

Calculated values
- SG: No. 225
- Total energy: -9.60 eV/cell
- Energy relative to the lowest polymorph listed for this composition: 0.856 eV/atom

```
&SYSTEM
  ibrav = 0, nat = 4, ntyp = 3
/
ATOMIC_SPECIES
Rb 85.47 Rb.upf
Sc 44.96 Sc.upf
Fe 55.84 Fe.upf
ATOMIC_POSITIONS angstrom
Rb 6.1718 6.1718 6.1718
Rb 2.0573 2.0573 2.0573
Sc 0.0000 0.0000 0.0000
Fe 4.1146 4.1146 4.1146
CELL_PARAMETERS angstrom
0.0000 4.1146 4.1146
4.1146 0.0000 4.1146
4.1146 4.1146 0.0000
```

No. 7
Crystalline Rb2ScFe at its relaxed geometry. Source: Alexandria via LeMat-Bulk, functional PBE. Values from VASP.

Calculated values
- SG: No. 122
- Total energy: -26.04 eV/cell
- Energy relative to the lowest polymorph listed for this composition: 0.000 eV/atom

```
&SYSTEM
  ibrav = 0, nat = 8, ntyp = 3
/
ATOMIC_SPECIES
Sc 44.96 Sc.upf
Rb 85.47 Rb.upf
Fe 55.84 Fe.upf
ATOMIC_POSITIONS angstrom
Sc -8.9338 -2.8467 -1.3857
Sc -12.3630 -5.2551 -6.7451
Rb -16.6726 -5.8656 0.6047
Rb -11.1490 -4.0462 4.6340
Rb -15.4961 -6.6272 5.5473
Rb -11.6220 -5.5127 -0.2669
Fe 0.0000 0.0000 0.0000
Fe -13.7349 -5.5129 2.6298
CELL_PARAMETERS angstrom
-10.3057 -3.1045 7.9892
-7.5619 -2.5889 -10.7605
-8.2303 -5.0747 -1.3440
```

No. 8
Crystalline RbScFe2 at its relaxed geometry. Source: Alexandria via LeMat-Bulk, functional PBE. Values from VASP.

Calculated values
- SG: No. 225
- Total energy: -19.23 eV/cell
- Energy relative to the lowest polymorph listed for this composition: 0.000 eV/atom

```
&SYSTEM
  ibrav = 0, nat = 4, ntyp = 3
/
ATOMIC_SPECIES
Fe 55.84 Fe.upf
Sc 44.96 Sc.upf
Rb 85.47 Rb.upf
ATOMIC_POSITIONS angstrom
Fe 1.7633 1.7633 1.7633
Fe 5.2900 5.2900 5.2900
Sc 0.0000 0.0000 0.0000
Rb 3.5266 3.5266 3.5266
CELL_PARAMETERS angstrom
0.0000 3.5266 3.5266
3.5266 0.0000 3.5266
3.5266 3.5266 0.0000
```

No. 9
Crystalline RbSc2Fe at its relaxed geometry. Source: Alexandria via LeMat-Bulk, functional PBE. Values from VASP.

Calculated values
- SG: No. 225
- Total energy: -18.11 eV/cell
- Energy relative to the lowest polymorph listed for this composition: 0.610 eV/atom

```
&SYSTEM
  ibrav = 0, nat = 4, ntyp = 3
/
ATOMIC_SPECIES
Rb 85.47 Rb.upf
Sc 44.96 Sc.upf
Fe 55.84 Fe.upf
ATOMIC_POSITIONS angstrom
Rb -3.7347 4.6272 1.3733
Sc -1.8674 2.3136 0.6867
Sc -5.6021 6.9409 2.0600
Fe 0.0000 0.0000 0.0000
CELL_PARAMETERS angstrom
-2.4955 2.2620 3.6723
-0.5165 4.9561 -0.0230
-4.4575 2.0363 -0.9026
```

No. 10
Crystalline Rb2ScFeTe at its relaxed geometry. Source: Alexandria via LeMat-Bulk, functional PBE. Values from VASP.

Calculated values
- SG: No. 123
- Total energy: -17.07 eV/cell
- Energy relative to the elements, uncorrected: 0.5608 eV/atom

```
&SYSTEM
  ibrav = 0, nat = 5, ntyp = 4
/
ATOMIC_SPECIES
Te 127.60 Te.upf
Fe 55.84 Fe.upf
Rb 85.47 Rb.upf
Sc 44.96 Sc.upf
ATOMIC_POSITIONS angstrom
Te 0.0000 0.0000 0.0000
Fe 3.4765 2.7442 3.4765
Rb 3.4765 0.0000 0.0000
Rb 0.0000 0.0000 3.4765
Sc 0.0000 2.7442 0.0000
CELL_PARAMETERS angstrom
6.9530 0.0000 0.0000
0.0000 5.4884 0.0000
0.0000 0.0000 6.9530
```

No. 11
Crystalline RbY2ScFe at its relaxed geometry. Source: Alexandria via LeMat-Bulk, functional PBE. Values from VASP.

Calculated values
- SG: No. 123
- Total energy: -23.67 eV/cell

```
&SYSTEM
  ibrav = 0, nat = 5, ntyp = 4
/
ATOMIC_SPECIES
Y 88.91 Y.upf
Fe 55.84 Fe.upf
Rb 85.47 Rb.upf
Sc 44.96 Sc.upf
ATOMIC_POSITIONS angstrom
Y 2.9829 0.0000 0.0000
Y 0.0000 0.0000 2.9829
Fe 0.0000 2.2006 0.0000
Rb 2.9829 2.2006 2.9829
Sc 0.0000 0.0000 0.0000
CELL_PARAMETERS angstrom
5.9657 0.0000 0.0000
0.0000 4.4011 0.0000
0.0000 0.0000 5.9657
```

No. 12
Crystalline RbFeSe3 at its relaxed geometry. Source: Alexandria via LeMat-Bulk, functional PBE. Values from VASP.

Calculated values
- SG: No. 221
- Total energy: -10.24 eV/cell
- Energy relative to the elements, uncorrected: 1.9293 eV/atom
- Energy relative to the lowest polymorph listed for this composition: 2.016 eV/atom

```
&SYSTEM
  ibrav = 0, nat = 5, ntyp = 3
/
ATOMIC_SPECIES
Fe 55.84 Fe.upf
Se 78.96 Se.upf
Rb 85.47 Rb.upf
ATOMIC_POSITIONS angstrom
Fe 3.0153 3.0153 3.0153
Se 0.0000 3.0153 0.0000
Se 3.0153 0.0000 0.0000
Se 0.0000 0.0000 3.0153
Rb 0.0000 0.0000 0.0000
CELL_PARAMETERS angstrom
6.0307 0.0000 0.0000
0.0000 6.0307 0.0000
0.0000 0.0000 6.0307
```